Here is a PBEsol-optimized structure of LiAl2Zn from the Alexandria database. Energies are from SCAN.

Summary:
Total magnetic moment ... 0.000 μB/atom
Energy of formation from the pure elements ... -44 meV/atom

a b c (Å): 5.418 5.418 2.731
angles (deg): 103.87 103.87 118.26
Positions (direct):
Li 0.000 0.000 0.000
Al 0.000 0.500 0.500
Al 0.500 0.000 0.500
Zn 0.500 0.500 0.000


Here is a PBEsol-optimized structure of Li2Al2Zn from the Alexandria database. Energies are from SCAN.

Summary:
Total magnetic moment ... 0.000 μB/atom
Energy of formation from the pure elements ... -13 meV/atom

a b c (Å): 6.597 6.597 3.894
angles (deg): 90.00 90.00 90.00
Positions (direct):
Li 0.159 0.341 0.000
Li 0.341 0.841 0.000
Li 0.659 0.159 0.000
Li 0.841 0.659 0.000
Al 0.141 0.641 0.500
Al 0.359 0.141 0.500
Al 0.641 0.859 0.500
Al 0.859 0.359 0.500
Zn 0.000 0.000 0.500
Zn 0.500 0.500 0.500


Here is a PBEsol-optimized structure of LiAlZn2 from the Alexandria database. Energies are from SCAN.

Summary:
Total magnetic moment ... 0.000 μB/atom
Energy of formation from the pure elements ... -128 meV/atom

a b c (Å): 4.665 4.665 2.799
angles (deg): 90.00 90.00 107.40
Positions (direct):
Li 0.000 0.000 0.000
Al 0.500 0.500 0.000
Zn 0.000 0.500 0.500
Zn 0.500 0.000 0.500


Here is a PBEsol-optimized structure of Li2AlZn from the Alexandria database. Energies are from SCAN.

Summary:
Total magnetic moment ... 0.000 μB/atom
Energy of formation from the pure elements ... -139 meV/atom

a b c (Å): 5.042 5.042 2.698
angles (deg): 94.69 94.69 116.33
Positions (direct):
Li 0.000 0.500 0.000
Li 0.500 0.000 0.000
Al 0.000 0.000 0.500
Zn 0.500 0.500 0.500


Here is a PBEsol-optimized structure of LiAlZn2 from the Alexandria database. Energies are from SCAN.

Summary:
Total magnetic moment ... 0.000 μB/atom
Energy of formation from the pure elements ... -106 meV/atom

a b c (Å): 2.738 3.903 5.465
angles (deg): 90.00 90.00 90.00
Positions (direct):
Li 0.000 0.000 0.000
Al 0.500 0.500 0.737
Zn 0.000 0.000 0.490
Zn 0.500 0.500 0.236


Here is a PBEsol-optimized structure of Li2AlZn from the Alexandria database. Energies are from SCAN.

Summary:
Total magnetic moment ... 0.000 μB/atom
Energy of formation from the pure elements ... -156 meV/atom

a b c (Å): 3.200 4.200 4.426
angles (deg): 90.00 90.00 90.00
Positions (direct):
Li 0.000 0.000 0.000
Li 0.500 0.500 0.000
Al 0.000 0.500 0.500
Zn 0.500 0.000 0.500


Here is a PBEsol-optimized structure of LiAl2Zn from the Alexandria database. Energies are from SCAN.

Summary:
Total magnetic moment ... 0.000 μB/atom
Energy of formation from the pure elements ... -59 meV/atom

a b c (Å): 4.440 4.440 4.440
angles (deg): 60.00 60.00 60.00
Positions (direct):
Li 0.000 0.000 0.000
Al 0.250 0.250 0.250
Al 0.500 0.500 0.500
Zn 0.750 0.750 0.750


Here is a PBEsol-optimized structure of LiAl2Zn from the Alexandria database. Energies are from SCAN.

Summary:
Total magnetic moment ... 0.000 μB/atom
Energy of formation from the pure elements ... -47 meV/atom

a b c (Å): 8.967 8.967 8.967
angles (deg): 18.35 18.35 18.35
Positions (direct):
Li 0.000 0.000 0.000
Al 0.249 0.249 0.249
Al 0.496 0.496 0.496
Zn 0.748 0.748 0.748


Here is a PBEsol-optimized structure of LiAlZn2 from the Alexandria database. Energies are from SCAN.

Summary:
Total magnetic moment ... 0.001 μB/atom
Energy of formation from the pure elements ... -109 meV/atom

a b c (Å): 4.706 4.706 4.763
angles (deg): 100.13 100.13 34.42
Positions (direct):
Li 0.000 0.000 0.000
Al 0.760 0.760 0.273
Zn 0.246 0.246 0.769
Zn 0.505 0.505 0.505


Here is a PBEsol-optimized structure of LiAlZn2 from the Alexandria database. Energies are from SCAN.

Summary:
Total magnetic moment ... 0.000 μB/atom
Energy of formation from the pure elements ... -86 meV/atom

a b c (Å): 3.277 3.277 5.454
angles (deg): 90.00 90.00 90.00
Positions (direct):
Li 0.000 0.000 0.000
Al 0.500 0.500 0.739
Zn 0.000 0.000 0.486
Zn 0.500 0.500 0.235


Here is a PBEsol-optimized structure of LiAl2Zn from the Alexandria database. Energies are from SCAN.

Summary:
Total magnetic moment ... 0.000 μB/atom
Energy of formation from the pure elements ... -65 meV/atom

a b c (Å): 3.306 3.306 5.648
angles (deg): 90.00 90.00 90.00
Positions (direct):
Li 0.000 0.000 0.000
Al 0.000 0.000 0.485
Al 0.500 0.500 0.749
Zn 0.500 0.500 0.234


Here is a PBEsol-optimized structure of LiAl2Zn from the Alexandria database. Energies are from SCAN.

Summary:
Total magnetic moment ... 0.000 μB/atom
Energy of formation from the pure elements ... -75 meV/atom

a b c (Å): 2.913 3.898 5.451
angles (deg): 90.00 90.00 90.00
Positions (direct):
Li 0.000 0.000 0.000
Al 0.500 0.500 0.254
Al 0.500 0.500 0.746
Zn 0.000 0.000 0.500